Ho2Hg2Pb (PBE-GGA, relaxed); V = 26.68 Å³ per atom; formation energy = -37.8 kJ per mole of atoms; density = 11.679 Mg/m³; magnetic moment = 0.0 μB per cell; SG = No. 127
1.0
-0.261 3.344 2.142
-7.091 -2.585 3.172
4.056 -3.609 6.128
Ho Hg Pb
4 4 2
direct
0.500 0.332 0.168
0.500 0.832 0.332
0.500 0.668 0.832
0.500 0.168 0.668
0.000 0.629 0.129
0.000 0.871 0.629
0.000 0.129 0.371
0.000 0.371 0.871
0.000 0.000 0.000
0.000 0.500 0.500